A geometry-optimized CaAl2Br structure. Source: Alexandria, functional PBE.

Structure (POSCAR):
```
CaAl2Br
1.0
2.863 -5.046 0.000
2.863 5.046 0.000
0.000 0.000 3.518
Ca Al Br
1 2 1
direct
0.000 0.000 0.000
0.000 0.500 0.500
0.500 0.000 0.500
0.500 0.500 0.000
```

The energy relative to the elements, uncorrected is -0.104 eV/atom. Its crystal system is orthorhombic. The energy above the most stable polymorph in this dataset is 0.3700 eV per atom. Its total magnetization is 0.0 μB/cell.

A geometry-optimized CaAlBr2 structure. Source: Alexandria, functional PBE.

Structure (POSCAR):
```
CaAlBr2
1.0
3.639 0.000 0.000
0.000 3.639 0.000
0.000 0.000 8.890
Ca Al Br
1 1 2
direct
0.000 0.000 0.000
0.500 0.500 0.246
0.000 0.000 0.417
0.500 0.500 0.828
```

The energy relative to the elements, uncorrected is -0.818 eV/atom. Its crystal system is tetragonal. The energy above the most stable polymorph in this dataset is 0.1520 eV per atom. Its total magnetization is 0.5 μB/cell.

A geometry-optimized Ca2Al2Br structure. Source: Alexandria, functional PBE.

Structure (POSCAR):
```
Ca2Al2Br
1.0
-3.046 3.046 4.161
3.046 -3.046 4.161
3.046 3.046 -4.161
Ca Al Br
2 2 1
direct
0.250 0.750 0.500
0.750 0.250 0.500
0.149 0.149 0.000
0.851 0.851 0.000
0.500 0.500 0.000
```

The energy relative to the elements, uncorrected is -0.100 eV/atom. Its crystal system is tetragonal. Its total magnetization is 0.0 μB/cell.

A geometry-optimized CaAlBr2 structure. Source: Alexandria, functional PBE.

Structure (POSCAR):
```
CaAlBr2
1.0
3.907 0.000 0.000
0.000 4.516 0.000
0.000 0.000 6.291
Ca Al Br
1 1 2
direct
0.000 0.000 0.000
0.500 0.000 0.500
0.000 0.500 0.500
0.500 0.500 0.000
```

The energy relative to the elements, uncorrected is -0.775 eV/atom. Its crystal system is orthorhombic. The energy above the most stable polymorph in this dataset is 0.1953 eV per atom. Its total magnetization is 0.0 μB/cell.

A geometry-optimized Ca2AlBr structure. Source: Alexandria, functional PBE.

Structure (POSCAR):
```
Ca2AlBr
1.0
-2.192 2.192 6.236
2.192 -2.192 6.236
2.192 2.192 -6.236
Ca Al Br
2 1 1
direct
0.000 0.000 0.000
0.750 0.250 0.500
0.250 0.750 0.500
0.500 0.500 0.000
```

The energy relative to the elements, uncorrected is -0.468 eV/atom. Its crystal system is tetragonal. The energy above the most stable polymorph in this dataset is 0.3264 eV per atom. Its total magnetization is 0.0 μB/cell.

A geometry-optimized CaAl2Br structure. Source: Alexandria, functional PBE.

Structure (POSCAR):
```
CaAl2Br
1.0
-1.785 2.908 4.860
1.785 -2.908 4.860
1.785 2.908 -4.860
Ca Al Br
1 2 1
direct
0.000 0.000 0.000
0.275 0.775 0.500
0.494 0.494 0.000
0.757 0.257 0.500
```

The energy relative to the elements, uncorrected is -0.182 eV/atom. Its crystal system is orthorhombic. The energy above the most stable polymorph in this dataset is 0.2919 eV per atom. Its total magnetization is 0.0 μB/cell.

A geometry-optimized CaAlBr2 structure. Source: Alexandria, functional PBE.

Structure (POSCAR):
```
CaAlBr2
1.0
5.033 -1.966 0.000
5.033 1.966 0.000
-1.734 0.000 6.184
Ca Al Br
1 1 2
direct
0.000 0.000 0.000
0.500 0.500 0.500
0.301 0.301 0.782
0.699 0.699 0.218
```

The energy relative to the elements, uncorrected is -0.857 eV/atom. Its crystal system is monoclinic. The energy above the most stable polymorph in this dataset is 0.1131 eV per atom. Its total magnetization is 0.0 μB/cell.

A geometry-optimized CaAl2Br structure. Source: Alexandria, functional PBE.

Structure (POSCAR):
```
CaAl2Br
1.0
1.758 1.015 9.359
-1.758 1.015 9.359
0.000 -2.030 9.359
Ca Al Br
1 2 1
direct
0.000 0.000 0.000
0.244 0.244 0.244
0.756 0.756 0.756
0.500 0.500 0.500
```

The energy relative to the elements, uncorrected is 0.037 eV/atom. Its crystal system is trigonal. The energy above the most stable polymorph in this dataset is 0.5106 eV per atom. Its total magnetization is 0.0 μB/cell.